CsHPb: optimized geometry, GGA-PBE.

Structure (CIF):
```
data_CsHPb
_chemical_formula_sum 'Cs2 H2 Pb2'
_space_group_name_H-M_alt 'P 1'
_space_group_IT_number 1
_cell_length_a 5.019
_cell_length_b 6.110
_cell_length_c 7.696
_cell_angle_alpha 112.89
_cell_angle_beta 90.18
_cell_angle_gamma 90.01
loop_
_space_group_symop_operation_xyz
'x,y,z'
loop_
_atom_site_label
_atom_site_fract_x
_atom_site_fract_y
_atom_site_fract_z
_atom_site_occupancy
Cs1 0.000 0.000 0.000 1
Cs2 0.497 0.682 0.425 1
H1 0.500 0.254 0.984 1
H2 0.998 0.945 0.581 1
Pb1 0.500 0.461 0.851 1
Pb2 0.998 0.259 0.579 1
```

Properties
Polymorph energy (0 for the lowest one) in meV per atom: 14
Total moment in μB per formula unit: 0.000


CsHPb2: optimized geometry, GGA-PBE.

Structure (CIF):
```
data_CsHPb2
_chemical_formula_sum 'Cs4 H4 Pb8'
_space_group_name_H-M_alt 'I -4 2 d'
_space_group_IT_number 122
_space_group_name_Hall 'I -4 2bw'
_cell_length_a 7.297
_cell_length_b 7.297
_cell_length_c 10.464
_cell_angle_alpha 90.00
_cell_angle_beta 90.00
_cell_angle_gamma 90.00
loop_
_atom_site_label
_atom_site_fract_x
_atom_site_fract_y
_atom_site_fract_z
_atom_site_occupancy
Cs1 0.000 0.000 0.000 1
H1 0.000 0.000 0.500 1
Pb1 0.001 0.750 0.625 1
```

Properties
Polymorph energy (0 for the lowest one) in meV per atom: 0
Total moment in μB per formula unit: 0.000


Cs2HPb2: optimized geometry, GGA-PBE.

Structure (CIF):
```
data_Cs2HPb2
_chemical_formula_sum 'Cs4 H2 Pb4'
_space_group_name_H-M_alt 'P 4/m b m'
_space_group_IT_number 127
_space_group_name_Hall '-P 4 2ab'
_cell_length_a 10.733
_cell_length_b 10.733
_cell_length_c 4.878
_cell_angle_alpha 90.00
_cell_angle_beta 90.00
_cell_angle_gamma 90.00
loop_
_atom_site_label
_atom_site_fract_x
_atom_site_fract_y
_atom_site_fract_z
_atom_site_occupancy
Cs1 0.209 0.291 0.000 1
H1 0.000 0.000 0.000 1
Pb1 0.092 0.592 0.500 1
```

Properties
Polymorph energy (0 for the lowest one) in meV per atom: 333
Total moment in μB per formula unit: 0.351


What is the polymorph energy (0 for the lowest one) in the third record? 333 meV per atom


What is the formula in the second record? CsHPb2


What is the total moment in the first record? 0.000 μB per formula unit